# 1
A relaxed structure of CaCd2Hg7. Source: Alexandria via LeMat-Bulk, functional PBE. Values from VASP.

```
&SYSTEM
  ibrav = 0, nat = 10, ntyp = 3
/
ATOMIC_SPECIES
Cd 112.41 Cd.upf
Hg 200.59 Hg.upf
Ca 40.08 Ca.upf
CELL_PARAMETERS angstrom
3.542 0.000 0.000
0.000 9.977 -0.510
0.000 -4.957 8.674
ATOMIC_POSITIONS angstrom
Cd 1.771 -0.048 5.655
Cd 1.771 5.069 2.508
Hg 1.771 -0.341 2.705
Hg 1.771 5.361 5.458
Hg 1.771 2.568 0.916
Hg 1.771 2.510 4.082
Hg 0.000 7.106 1.255
Hg 1.771 2.453 7.247
Hg 0.000 -2.086 6.908
Ca 0.000 0.000 0.000
```

Results
As for the magnetization: 0.00 μB/f.u. The symmetry is Cmmm (65). The calculation puts the electronic total energy at -6.67 eV/cell. The value obtained for the formation energy is -0.072 eV per atom. For the energy relative to the lowest polymorph listed for this composition, the calculation gives 0.014 eV per atom.


# 2
A relaxed structure of Dy4CdIn. Source: Alexandria via LeMat-Bulk, functional PBE. Values from VASP.

```
&SYSTEM
  ibrav = 0, nat = 6, ntyp = 3
/
ATOMIC_SPECIES
Dy 162.50 Dy.upf
Cd 112.41 Cd.upf
In 114.82 In.upf
CELL_PARAMETERS angstrom
-0.174 3.025 1.753
-2.016 -1.984 6.719
7.963 3.470 -1.703
ATOMIC_POSITIONS angstrom
Dy 5.415 4.357 3.504
Dy 2.532 2.106 0.112
Dy 3.242 2.405 6.656
Dy 0.358 0.154 3.265
Cd 0.000 0.000 0.000
In 2.887 2.255 3.384
```

Results
As for the magnetization: 0.00 μB/f.u. The symmetry is C2/m (12). The calculation puts the electronic total energy at -23.55 eV/cell. The value obtained for the formation energy is -0.248 eV per atom. For the energy relative to the lowest polymorph listed for this composition, the calculation gives 0.000 eV per atom.